Entry 1:
## HfNbTl2Ru (GGA-PBE)

Data for crystalline HfNbTl2Ru at its relaxed geometry.

Calculated values
- M_tot: 0.384 μB/atom
- Raw total energy: -5.05 eV/atom
- Symmetry: P4/mmm (123)

a b c (Å): 5.434 5.434 4.906
angles (deg): 90.00 90.00 90.00
Positions (direct):
Hf: 0.000 0.000 0.000
Nb: 0.000 0.000 0.500
Tl: 0.000 0.500 0.000
Tl: 0.500 0.000 0.000
Ru: 0.500 0.500 0.500



Entry 2:
## HfNb2TlRu (GGA-PBE)

Data for crystalline HfNb2TlRu at its relaxed geometry.

Calculated values
- M_tot: 0.269 μB/atom
- Relative energy among the computed polymorphs: 529.4 meV per atom
- Symmetry: P4/mmm (123)

a b c (Å): 4.871 4.871 5.309
angles (deg): 90.00 90.00 90.00
Positions (direct):
Hf: 0.000 0.000 0.000
Nb: 0.000 0.500 0.000
Nb: 0.500 0.000 0.000
Tl: 0.000 0.000 0.500
Ru: 0.500 0.500 0.500



Entry 3:
## HfNbRuW2 (GGA-PBE)

Data for crystalline HfNbRuW2 at its relaxed geometry.

Calculated values
- M_tot: 0.000 μB/atom
- Raw total energy: -8.94 eV/atom
- Symmetry: P4/mmm (123)

a b c (Å): 4.686 4.686 4.913
angles (deg): 90.00 90.00 90.00
Positions (direct):
Hf: 0.000 0.000 0.000
Nb: 0.000 0.000 0.500
Ru: 0.500 0.500 0.000
W: 0.000 0.500 0.500
W: 0.500 0.000 0.500



Entry 4:
## Hf2NbRuW (GGA-PBE)

Data for crystalline Hf2NbRuW at its relaxed geometry.

Calculated values
- M_tot: 0.000 μB/atom
- Raw total energy: -9.06 eV/atom
- Symmetry: P4/mmm (123)

a b c (Å): 5.002 5.002 4.679
angles (deg): 90.00 90.00 90.00
Positions (direct):
Hf: 0.000 0.500 0.000
Hf: 0.500 0.000 0.000
Nb: 0.000 0.000 0.500
Ru: 0.500 0.500 0.500
W: 0.000 0.000 0.000



| no. | DOS(E_F) (states/eV/cell) | volume (Å³ per cell) |
| --- | --- | --- |
| 1 | 7.00 | 144.9 |
| 2 | 6.09 | 125.9 |
| 3 | 8.46 | 107.9 |
| 4 | 6.20 | 117.1 |